A plane-wave DFT calculation with PBE was carried out for a relaxed Cr2Se crystal.

abc: 3.026 3.026 8.545
angles: 90.00 90.00 90.00
Space group I4/mmm (No. 139)
Asymmetric unit:
Cr  0.000  0.000  0.173 (multiplicity 4)
Se  0.000  0.000  0.500 (multiplicity 2)

## Properties
energy relative to the elements, uncorrected	0.9	eV/f.u.
total magnetization	0.0	μB per formula unit
offset from the most stable computed form	0.415	eV/atom